# 1
The following is a DFT calculation (PBE-GGA) of an optimized crystal structure of DyGe2PtRh2.

The structure in extended XYZ format:
```
6
Lattice="-3.590 -0.740 -2.878 -2.797 -0.682 3.664 -1.189 5.391 0.096" Properties=species:S:1:pos:R:3 pbc="T T T"
Rh -3.500 0.676 0.418
Rh -4.077 3.292 0.464
Pt 0.000 0.000 0.000
Ge -1.795 -0.370 -1.439
Ge -1.399 -0.341 1.832
Dy -0.595 2.696 0.048
```

=====

# 2
The following is a DFT calculation (PBE-GGA) of an optimized crystal structure of Ac4Zn5Ga3.

The structure in extended XYZ format:
```
12
Lattice="4.677 0.000 0.000 2.338 7.574 0.286 2.338 2.971 9.501" Properties=species:S:1:pos:R:3 pbc="T T T"
Zn 7.015 7.355 9.422
Zn 7.015 9.791 8.773
Zn 2.338 0.754 1.014
Zn 2.338 3.190 0.364
Zn 4.677 5.273 4.893
Ac 2.338 6.030 1.713
Ac 7.015 4.515 8.074
Ac 4.677 2.463 2.914
Ac 4.677 8.082 6.873
Ga 4.677 7.608 3.696
Ga 4.677 2.937 6.091
Ga 2.338 5.273 4.893
```

=====

# 3
The following is a DFT calculation (PBE-GGA) of an optimized crystal structure of PmDy2ScIn4.

The structure in extended XYZ format:
```
8
Lattice="-4.424 2.800 0.647 -2.941 1.291 -4.185 -6.971 -5.980 -0.272" Properties=species:S:1:pos:R:3 pbc="T T T"
In -5.243 -3.170 -0.619
In -8.821 -3.634 -1.572
In -9.092 1.281 -3.190
In -5.513 1.745 -2.237
Dy -10.735 -1.392 -2.860
Dy -3.599 -0.498 -0.949
Sc -7.167 -0.945 -1.905
Pm 0.000 0.000 0.000
```

=====

Going through the records in order, we get energy relative to the elements values of -0.21, -0.23, -0.44 eV/atom.